Below is an optimized crystal structure of TbZnInHg, with properties calculated at the PBE level.

Lattice parameters (Å, degrees): 7.1339 7.1339 7.1339 90.00 90.00 90.00
Space group F-43m (No. 216)
Symmetry-distinct sites (fractional):
Tb 0.0000 0.0000 0.0000 (multiplicity 4)
Zn 0.2500 0.2500 0.2500 (multiplicity 4)
In 0.0000 0.0000 0.5000 (multiplicity 4)
Hg 0.2500 0.2500 0.7500 (multiplicity 4)

Calculated values
Mass density   9.87 g cm⁻³


Below is an optimized crystal structure of K2TcIr, with properties calculated at the PBE level.

Lattice parameters (Å, degrees): 5.2690 11.2826 2.7980 90.00 90.00 90.00
Space group Cmmm (No. 65)
Symmetry-distinct sites (fractional):
K 0.2500 0.2500 0.0000 (multiplicity 4)
Tc 0.0000 0.0000 0.5000 (multiplicity 2)
Ir 0.0000 0.5000 0.5000 (multiplicity 2)

Calculated values
Mass density   7.36 g cm⁻³


Below is an optimized crystal structure of BeGePd2, with properties calculated at the PBE level.

Lattice parameters (Å, degrees): 3.7765 3.7765 14.0752 90.00 90.00 120.00
Space group R3m (No. 160, hexagonal axes)
Symmetry-distinct sites (fractional):
Be 0.0000 0.0000 0.0000 (multiplicity 3)
Ge 0.0000 0.0000 0.1745 (multiplicity 3)
Pd 0.0000 0.0000 0.4028 (multiplicity 3)
Pd 0.0000 0.0000 0.6059 (multiplicity 3)

Calculated values
Mass density   8.44 g cm⁻³


Below is an optimized crystal structure of Pm2HgAu, with properties calculated at the PBE level.

Lattice parameters (Å, degrees): 7.5003 7.5003 7.5003 90.00 90.00 90.00
Space group Fm-3m (No. 225)
Symmetry-distinct sites (fractional):
Pm 0.2500 0.2500 0.2500 (multiplicity 8)
Hg 0.0000 0.0000 0.0000 (multiplicity 4)
Au 0.0000 0.0000 0.5000 (multiplicity 4)

Calculated values
Mass density   10.82 g cm⁻³


Below is an optimized crystal structure of AcNd2YEr5, with properties calculated at the PBE level.

Lattice parameters (Å, degrees): 8.8455 8.8455 15.5087 90.00 90.00 90.00
Space group I4/mcm (No. 140)
Symmetry-distinct sites (fractional):
Ac 0.0000 0.0000 0.2500 (multiplicity 4)
Nd 0.1164 0.3836 0.0000 (multiplicity 8)
Y 0.0000 0.5000 0.2500 (multiplicity 4)
Er 0.0000 0.0000 0.0000 (multiplicity 4)
Er 0.2074 0.2926 0.3674 (multiplicity 16)

Calculated values
Mass density   7.89 g cm⁻³


Below is an optimized crystal structure of Mg5HgBr12, with properties calculated at the PBE level.

Lattice parameters (Å, degrees): 6.7925 11.7716 14.1504 90.00 90.07 90.00
Space group C2/m (No. 12)
Symmetry-distinct sites (fractional):
Mg 0.0000 0.0000 0.0000 (multiplicity 2)
Mg 0.0000 0.1667 0.5000 (multiplicity 4)
Mg 0.0000 0.3334 0.0000 (multiplicity 4)
Hg 0.0000 0.5000 0.5000 (multiplicity 2)
Br 0.1493 0.0000 0.6102 (multiplicity 4)
Br 0.1663 0.1667 0.8945 (multiplicity 8)
Br 0.1664 0.5000 0.8944 (multiplicity 4)
Br 0.1757 0.3245 0.6102 (multiplicity 8)

Calculated values
Formation energy (no corrections)   -1299.5 meV/atom
Mass density   3.76 g cm⁻³


Below is an optimized crystal structure of CaMg2TiCo, with properties calculated at the PBE level.

Lattice parameters (Å, degrees): 5.0092 5.0092 4.4018 90.00 90.00 90.00
Space group P4/mmm (No. 123)
Symmetry-distinct sites (fractional):
Ca 0.0000 0.0000 0.0000 (multiplicity 1)
Mg 0.0000 0.5000 0.5000 (multiplicity 2)
Ti 0.5000 0.5000 0.0000 (multiplicity 1)
Co 0.5000 0.5000 0.5000 (multiplicity 1)

Calculated values
Mass density   2.94 g cm⁻³


Below is an optimized crystal structure of In3BiAu3, with properties calculated at the PBE level.

Lattice parameters (Å, degrees): 7.6496 7.6496 7.6496 90.00 90.00 90.00
Space group Pm-3n (No. 223)
Symmetry-distinct sites (fractional):
In 0.0000 0.2500 0.5000 (multiplicity 6)
Bi 0.0000 0.0000 0.0000 (multiplicity 2)
Au 0.0000 0.5000 0.2500 (multiplicity 6)

Calculated values
Mass density   8.49 g cm⁻³


Below is an optimized crystal structure of CsPmMn2Se4, with properties calculated at the PBE level.

Lattice parameters (Å, degrees): 6.9880 8.7007 9.3871 90.00 90.00 90.00
Space group I222 (No. 23)
Symmetry-distinct sites (fractional):
Cs 0.0000 0.0000 0.0000 (multiplicity 2)
Pm 0.0000 0.0000 0.5000 (multiplicity 2)
Mn 0.0000 0.5000 0.1034 (multiplicity 4)
Se 0.2412 0.3360 0.8229 (multiplicity 8)

Calculated values
Formation energy (no corrections)   -625.9 meV/atom
Mass density   4.09 g cm⁻³


Below is an optimized crystal structure of Er3Co2Ge4, with properties calculated at the PBE level.

Lattice parameters (Å, degrees): 10.5462 4.1451 7.9592 90.00 107.64 90.00
Space group C2/m (No. 12)
Symmetry-distinct sites (fractional):
Er 0.0000 0.0000 0.0000 (multiplicity 2)
Er 0.1239 0.5000 0.6931 (multiplicity 4)
Co 0.1913 0.5000 0.3730 (multiplicity 4)
Ge 0.0958 0.0000 0.3992 (multiplicity 4)
Ge 0.2084 0.5000 0.0803 (multiplicity 4)

Calculated values
Mass density   9.12 g cm⁻³


Below is an optimized crystal structure of HoHgAu, with properties calculated at the PBE level.

Lattice parameters (Å, degrees): 3.8190 3.8190 9.2889 90.00 90.00 90.00
Space group I4mm (No. 107)
Symmetry-distinct sites (fractional):
Ho 0.0000 0.0000 0.0000 (multiplicity 2)
Hg 0.0000 0.0000 0.6743 (multiplicity 2)
Au 0.0000 0.0000 0.3409 (multiplicity 2)

Calculated values
Mass density   13.79 g cm⁻³


Below is an optimized crystal structure of Sr2TeF, with properties calculated at the PBE level.

Lattice parameters (Å, degrees): 4.3969 4.3969 21.5298 90.00 90.00 120.00
Space group R-3m (No. 166, hexagonal axes)
Symmetry-distinct sites (fractional):
Sr 0.0000 0.0000 0.2384 (multiplicity 6)
Te 0.0000 0.0000 0.0000 (multiplicity 3)
F 0.0000 0.0000 0.5000 (multiplicity 3)

Calculated values
Formation energy (no corrections)   -1989.9 meV/atom
Mass density   4.45 g cm⁻³


no.,raw total energy (eV/atom)
1,-2.54
2,-4.21
3,-5.07
4,-3.89
5,-4.51
6,-2.87
7,-3.94
8,-2.89
9,-5.36
10,-5.87
11,-3.32
12,-4.08